1.
Crystalline YMgZr2 at its relaxed geometry. Source: Alexandria, functional GGA-PBE.

- energy of formation (meV/atom) = 133.5

a = 3.259 Å, b = 3.259 Å, c = 32.602 Å
α = 90.00°, β = 90.00°, γ = 120.00°
Atoms (fractional coordinates):
Y: 0.000 0.000 0.000
Y: 0.333 0.667 0.667
Y: 0.667 0.333 0.333
Mg: 0.000 0.000 0.166
Mg: 0.333 0.667 0.833
Mg: 0.667 0.333 0.500
Zr: 0.000 0.000 0.582
Zr: 0.000 0.000 0.752
Zr: 0.333 0.667 0.249
Zr: 0.333 0.667 0.418
Zr: 0.667 0.333 0.085
Zr: 0.667 0.333 0.915


2.
Crystalline Ac7Pr3Dy2 at its relaxed geometry. Source: Alexandria, functional GGA-PBE.

- energy of formation (meV/atom) = 107.7

a = 6.970 Å, b = 3.781 Å, c = 18.609 Å
α = 90.00°, β = 96.15°, γ = 90.00°
Atoms (fractional coordinates):
Ac: 0.000 0.000 0.000
Ac: 0.227 0.500 0.176
Ac: 0.253 0.500 0.494
Ac: 0.274 0.000 0.829
Ac: 0.726 0.000 0.171
Ac: 0.747 0.500 0.506
Ac: 0.773 0.500 0.824
Pr: 0.462 0.000 0.341
Pr: 0.500 0.500 0.000
Pr: 0.538 0.000 0.659
Dy: 0.059 0.500 0.669
Dy: 0.941 0.500 0.331


Number 1: M_tot 0.00 μB/f.u., total energy -73.9 eV per cell. Number 2: M_tot 0.00 μB/f.u., total energy -51.0 eV per cell.